No. 1
A relaxed Nd4Hf6O19 crystal. Source: the Alexandria database, functional PBE.

Output
As for the total energy: -0.3381 hartree per atom. As for the spin magnetization: 0.08 μB/atom. Its uncorrected formation energy is -3.235 eV/atom. The density of states at the Fermi level is 0.680 states/eV per atom.

Structure (POSCAR):
```
Nd4Hf6O19
1.0
-4.751 4.751 4.751
4.751 -4.751 4.751
4.751 4.751 -4.751
Nd Hf O
4 6 19
Cartesian
3.351 3.351 -3.351
3.351 -3.351 3.351
1.400 1.400 1.400
-3.351 3.351 3.351
4.751 0.000 1.584
4.751 3.167 0.000
1.584 4.751 0.000
3.167 0.000 4.751
0.000 1.584 4.751
0.000 4.751 3.167
0.000 0.000 0.000
3.372 0.000 0.000
6.129 0.000 0.000
4.356 2.038 -1.702
6.453 -0.395 2.713
2.038 -1.702 4.356
3.048 0.395 2.713
0.000 3.372 0.000
0.000 0.000 3.372
2.713 3.048 0.395
5.146 2.038 1.702
0.395 2.713 3.048
2.713 6.453 -0.395
0.000 6.129 0.000
0.000 0.000 6.129
-1.702 4.356 2.038
2.038 1.702 5.146
1.702 5.146 2.038
-0.395 2.713 6.453
```


No. 2
A relaxed Nd2HfO crystal. Source: the Alexandria database, functional PBE.

Output
As for the total energy: -0.2568 hartree per atom. As for the spin magnetization: 0.13 μB/atom. Its uncorrected formation energy is -0.875 eV/atom. The density of states at the Fermi level is 1.067 states/eV per atom.

Structure (POSCAR):
```
Nd2HfO
1.0
1.743 1.007 9.036
-1.743 1.007 9.036
0.000 -2.013 9.036
Nd Hf O
2 1 1
Cartesian
0.000 0.000 3.076
0.000 0.000 24.031
0.000 0.000 0.000
0.000 0.000 13.554
```


No. 3
A relaxed NdHfSbO6 crystal. Source: the Alexandria database, functional PBE.

Output
As for the total energy: -0.2980 hartree per atom. As for the spin magnetization: 0.00 μB/atom. Its uncorrected formation energy is -2.709 eV/atom. The density of states at the Fermi level is 0.000 states/eV per atom.

Structure (POSCAR):
```
NdHfSbO6
1.0
5.416 0.000 0.000
-2.708 4.690 0.000
0.000 0.000 10.154
Nd Hf Sb O
2 2 2 12
Cartesian
0.000 0.000 0.000
0.000 0.000 5.077
0.000 3.127 2.538
2.708 1.563 7.615
0.000 3.127 7.615
2.708 1.563 2.538
-0.939 1.732 6.503
-1.678 3.011 8.728
0.939 1.732 8.728
-0.739 4.638 6.503
1.969 0.053 1.426
1.030 1.679 3.651
1.678 3.011 6.503
0.739 4.638 8.728
3.446 0.053 3.651
1.769 2.958 1.426
4.386 1.679 1.426
3.647 2.958 3.651
```


No. 4
A relaxed NdHfSi2O8 crystal. Source: the Alexandria database, functional PBE.

Output
As for the total energy: -0.3065 hartree per atom. As for the spin magnetization: 0.00 μB/atom. Its uncorrected formation energy is -2.905 eV/atom. The density of states at the Fermi level is 0.718 states/eV per atom.

Structure (POSCAR):
```
NdHfSi2O8
1.0
-3.465 3.465 3.075
3.465 -3.465 3.075
3.465 3.465 -3.075
Nd Hf Si O
1 1 2 8
Cartesian
0.000 0.000 0.000
0.000 3.465 1.538
3.465 0.000 1.538
0.000 0.000 3.075
2.284 0.000 0.407
4.645 0.000 0.407
3.465 2.139 -0.994
3.465 -1.180 2.669
0.000 1.325 2.081
3.465 1.180 2.669
2.139 3.465 0.994
1.325 0.000 4.070
```